No. 1
Computed, not measured: crystalline HfV3H at its relaxed geometry at the GGA-PBEsol level of DFT.

Uncorrected energy: -41.97 eV per formula unit
Space-group type: Pm-3m (221)

a b c (Å): 3.9719 3.9719 3.9719
angles (deg): 90.00 90.00 90.00
With the nearest neighbours (Å) after each atom.
Sites, in units of the cell vectors:
Hf: 0.5000 0.5000 0.5000  12 V 2.81
V: 0.5000 0.0000 0.0000  2 H 1.99
H: 0.0000 0.0000 0.0000  6 V 1.99
V: 0.0000 0.5000 0.0000  2 H 1.99
V: 0.0000 0.0000 0.5000  2 H 1.99

---

No. 2
Computed, not measured: crystalline YHfH3 at its relaxed geometry at the GGA-PBEsol level of DFT.

Uncorrected energy: -26.77 eV per formula unit
Space-group type: Pm-3m (221)

a b c (Å): 3.8879 3.8879 3.8879
angles (deg): 90.00 90.00 90.00
With the nearest neighbours (Å) after each atom.
Sites, in units of the cell vectors:
H: 0.0000 0.5000 0.0000  2 Y 1.94
Hf: 0.5000 0.5000 0.5000  12 H 2.75
H: 0.0000 0.0000 0.5000  2 Y 1.94
Y: 0.0000 0.0000 0.0000  6 H 1.94
H: 0.5000 0.0000 0.0000  2 Y 1.94

---

No. 3
Computed, not measured: crystalline Y3HfH at its relaxed geometry at the GGA-PBEsol level of DFT.

Uncorrected energy: -34.58 eV per formula unit
Space-group type: Pm-3m (221)

a b c (Å): 4.7868 4.7868 4.7868
angles (deg): 90.00 90.00 90.00
With the nearest neighbours (Å) after each atom.
Sites, in units of the cell vectors:
Y: 0.5000 0.0000 0.0000  2 H 2.39
Hf: 0.5000 0.5000 0.5000  12 Y 3.38
Y: 0.0000 0.0000 0.5000  2 H 2.39
H: 0.0000 0.0000 0.0000  6 Y 2.39
Y: 0.0000 0.5000 0.0000  2 H 2.39

---

No. 4
Computed, not measured: crystalline YHf3H at its relaxed geometry at the GGA-PBEsol level of DFT.

Uncorrected energy: -41.54 eV per formula unit
Space-group type: Pm-3m (221)

a b c (Å): 4.5272 4.5272 4.5272
angles (deg): 90.00 90.00 90.00
With the nearest neighbours (Å) after each atom.
Sites, in units of the cell vectors:
Y: 0.5000 0.5000 0.5000  12 Hf 3.20
Hf: 0.5000 0.0000 0.0000  2 H 2.26
Hf: 0.0000 0.0000 0.5000  2 H 2.26
Hf: 0.0000 0.5000 0.0000  2 H 2.26
H: 0.0000 0.0000 0.0000  6 Hf 2.26

---

No. 5
Computed, not measured: crystalline Hf3ZnH at its relaxed geometry at the GGA-PBEsol level of DFT.

Uncorrected energy: -37.53 eV per formula unit
Space-group type: Pm-3m (221)

a b c (Å): 4.2782 4.2782 4.2782
angles (deg): 90.00 90.00 90.00
With the nearest neighbours (Å) after each atom.
Sites, in units of the cell vectors:
Hf: 0.5000 0.0000 0.0000  2 H 2.14
Zn: 0.5000 0.5000 0.5000  12 Hf 3.03
Hf: 0.0000 0.5000 0.0000  2 H 2.14
H: 0.0000 0.0000 0.0000  6 Hf 2.14
Hf: 0.0000 0.0000 0.5000  2 H 2.14

---

No. 6
Computed, not measured: crystalline Hf2ZrH2 at its relaxed geometry at the GGA-PBEsol level of DFT.

Uncorrected energy: -38.12 eV per formula unit
Space-group type: I4/mmm (139)

a b c (Å): 3.1390 3.1390 7.4733
angles (deg): 102.12 102.12 90.00
With the nearest neighbours (Å) after each atom.
Sites, in units of the cell vectors:
Zr: 0.0000 0.0000 0.0000  4 Zr 3.14, 8 Hf 3.14
Hf: 0.3439 0.3439 0.6878  4 H 2.06
H: 0.2500 0.7500 0.5000  4 Hf 2.06, 4 H 2.22
Hf: 0.6561 0.6561 0.3122  4 H 2.06
H: 0.7500 0.2500 0.5000  4 Hf 2.06, 4 H 2.22

---

No. 7
Computed, not measured: crystalline HgHI2 at its relaxed geometry at the GGA-PBEsol level of DFT.

Uncorrected energy: -6.18 eV per formula unit
Space-group type: I-42d (122)

a b c (Å): 6.9433 6.4922 6.9433
angles (deg): 57.67 90.00 122.33
With the nearest neighbours (Å) after each atom.
Sites, in units of the cell vectors:
I: 0.3750 0.2500 0.2073  2 H 2.34
H: 0.2500 0.5000 0.2500  4 I 2.34
I: 0.5427 0.7500 0.3750  2 H 2.34
H: 0.5000 0.0000 0.5000  4 I 2.34
Hg: 0.0000 0.0000 0.0000  4 I 3.08
Hg: 0.7500 0.5000 0.7500  4 I 3.08
I: 0.2073 0.7500 0.8750  2 H 2.34
I: 0.8750 0.2500 0.5427  2 H 2.34

---

No. 8
Computed, not measured: crystalline KHgH2I3O at its relaxed geometry at the GGA-PBEsol level of DFT.

Uncorrected energy: -25.70 eV per formula unit
Space-group type: Pna2_1 (33)

a b c (Å): 8.6276 9.0922 11.4963
angles (deg): 90.00 90.00 90.00
With the nearest neighbours (Å) after each atom.
Sites, in units of the cell vectors:
K: 0.9552 0.3295 0.0826  2 O 2.74-2.75
O: 0.3508 0.5929 0.5566  2 H 0.99
K: 0.5448 0.8295 0.5826  2 O 2.74-2.75
H: 0.1442 0.0589 0.9750  1 O 0.99
O: 0.1492 0.0929 0.0566  2 H 0.99
I: 0.7690 0.0712 0.2802  1 H 2.64, 1 Hg 2.77
I: 0.9990 0.7314 0.0971  1 H 2.69, 2 Hg 2.85-2.93
I: 0.0010 0.2686 0.5971  1 H 2.69, 2 Hg 2.85-2.93
H: 0.8857 0.9934 0.6014  1 O 0.99
H: 0.3558 0.5589 0.4750  1 O 0.99
I: 0.7310 0.5712 0.7802  1 H 2.64, 1 Hg 2.77
H: 0.3857 0.5066 0.6014  1 O 0.99
I: 0.2310 0.9288 0.7802  1 H 2.64, 1 Hg 2.77
H: 0.6442 0.4411 0.9750  1 O 0.99
Hg: 0.7589 0.8022 0.9358  4 I 2.73-2.93
I: 0.5010 0.2314 0.5971  1 H 2.69, 2 Hg 2.85-2.93
K: 0.4552 0.1705 0.0826  2 O 2.74-2.75
I: 0.2690 0.4288 0.2802  1 H 2.64, 1 Hg 2.77
I: 0.2452 0.9107 0.3674  1 Hg 2.73
H: 0.6143 0.4934 0.1014  1 O 0.99
Hg: 0.7411 0.3022 0.4358  4 I 2.73-2.93
K: 0.0448 0.6705 0.5826  2 O 2.74-2.75
O: 0.6492 0.4071 0.0566  2 H 0.99
I: 0.2548 0.4107 0.8674  1 Hg 2.73
I: 0.4990 0.7686 0.0971  1 H 2.69, 2 Hg 2.85-2.93
I: 0.7452 0.5893 0.3674  1 Hg 2.73
Hg: 0.2411 0.1978 0.4358  4 I 2.73-2.93
H: 0.8558 0.9411 0.4750  1 O 0.99
Hg: 0.2589 0.6978 0.9358  4 I 2.73-2.93
H: 0.1143 0.0066 0.1014  1 O 0.99
I: 0.7548 0.0893 0.8674  1 Hg 2.73
O: 0.8508 0.9071 0.5566  2 H 0.99

---

No. 9
Computed, not measured: crystalline ReHgHI2 at its relaxed geometry at the GGA-PBEsol level of DFT.

Uncorrected energy: -14.32 eV per formula unit
Space-group type: P4/mmm (123)

a b c (Å): 3.4776 5.4498 5.4498
angles (deg): 90.00 90.00 90.00
With the nearest neighbours (Å) after each atom.
Sites, in units of the cell vectors:
Re: 0.5000 0.5000 0.5000  8 I 3.23, 2 Re 3.48
H: 0.0000 0.0000 0.0000  2 Hg 1.74
I: 0.0000 0.0000 0.5000  2 H 2.72
Hg: 0.5000 0.0000 0.0000  2 H 1.74
I: 0.0000 0.5000 0.0000  2 H 2.72

---

No. 10
Computed, not measured: crystalline HgSb2HI at its relaxed geometry at the GGA-PBEsol level of DFT.

Uncorrected energy: -12.63 eV per formula unit
Space-group type: P4/mmm (123)

a b c (Å): 4.5380 4.5380 5.5583
angles (deg): 90.00 90.00 90.00
With the nearest neighbours (Å) after each atom.
Sites, in units of the cell vectors:
I: 0.0000 0.0000 0.5000  2 H 2.78
Sb: 0.0000 0.5000 0.0000  2 H 2.27
Hg: 0.5000 0.5000 0.5000  4 I 3.21, 8 Sb 3.59
H: 0.0000 0.0000 0.0000  4 Sb 2.27
Sb: 0.5000 0.0000 0.0000  2 H 2.27

---

No. 11
Computed, not measured: crystalline InHg3H at its relaxed geometry at the GGA-PBEsol level of DFT.

Uncorrected energy: -6.60 eV per formula unit
Space-group type: Pm-3m (221)

a b c (Å): 4.6386 4.6386 4.6386
angles (deg): 90.00 90.00 90.00
With the nearest neighbours (Å) after each atom.
Sites, in units of the cell vectors:
In: 0.5000 0.5000 0.5000  12 Hg 3.28
Hg: 0.0000 0.5000 0.0000  2 H 2.32
Hg: 0.0000 0.0000 0.5000  2 H 2.32
Hg: 0.5000 0.0000 0.0000  2 H 2.32
H: 0.0000 0.0000 0.0000  6 Hg 2.32

---

No. 12
Computed, not measured: crystalline K2HgH at its relaxed geometry at the GGA-PBEsol level of DFT.

Uncorrected energy: -5.77 eV per formula unit
Space-group type: Fm-3m (225)

a b c (Å): 5.5306 5.5306 5.5306
angles (deg): 60.00 60.00 60.00
With the nearest neighbours (Å) after each atom.
Sites, in units of the cell vectors:
H: 0.0000 0.0000 0.0000  8 K 3.39
K: 0.7500 0.7500 0.7500  4 Hg 3.39, 4 H 3.39
K: 0.2500 0.2500 0.2500  4 Hg 3.39, 4 H 3.39
Hg: 0.5000 0.5000 0.5000  8 K 3.39

---

No. 13
Computed, not measured: crystalline KHg2H at its relaxed geometry at the GGA-PBEsol level of DFT.

Uncorrected energy: -4.53 eV per formula unit
Space-group type: Fm-3m (225)

a b c (Å): 5.2373 5.2373 5.2373
angles (deg): 60.00 60.00 60.00
With the nearest neighbours (Å) after each atom.
Sites, in units of the cell vectors:
Hg: 0.7500 0.7500 0.7500  4 K 3.21, 4 H 3.21
Hg: 0.2500 0.2500 0.2500  4 H 3.21, 4 K 3.21
K: 0.5000 0.5000 0.5000  8 Hg 3.21
H: 0.0000 0.0000 0.0000  8 Hg 3.21

---

No. 14
Computed, not measured: crystalline K2HgH2 at its relaxed geometry at the GGA-PBEsol level of DFT.

Uncorrected energy: -9.34 eV per formula unit
Space-group type: P4/mbm (127)

a b c (Å): 3.3533 8.1448 8.1448
angles (deg): 90.00 90.00 90.00
With the nearest neighbours (Å) after each atom.
Sites, in units of the cell vectors:
H: 0.5000 0.3523 0.1477  6 K 2.89-2.95
H: 0.5000 0.8523 0.3523  6 K 2.89-2.95
K: 0.0000 0.6411 0.1411  6 H 2.89-2.95, 2 Hg 3.14
Hg: 0.0000 0.0000 0.0000  4 K 3.14, 2 Hg 3.35
H: 0.5000 0.6477 0.8523  6 K 2.89-2.95
K: 0.0000 0.8589 0.6411  6 H 2.89-2.95, 2 Hg 3.14
H: 0.5000 0.1477 0.6477  6 K 2.89-2.95
Hg: 0.0000 0.5000 0.5000  4 K 3.14, 2 Hg 3.35
K: 0.0000 0.3589 0.8589  6 H 2.89-2.95, 2 Hg 3.14
K: 0.0000 0.1411 0.3589  6 H 2.89-2.95, 2 Hg 3.14

---

No. 15
Computed, not measured: crystalline KHgH2Pb at its relaxed geometry at the GGA-PBEsol level of DFT.

Uncorrected energy: -10.08 eV per formula unit
Space-group type: P4/mmm (123)

a b c (Å): 4.3816 4.3816 6.7124
angles (deg): 90.00 90.00 90.00
With the nearest neighbours (Å) after each atom.
Sites, in units of the cell vectors:
H: 0.0000 0.5000 0.0000  2 Pb 2.19
Hg: 0.5000 0.5000 0.5000  4 K 3.10
Pb: 0.0000 0.0000 0.0000  4 H 2.19
H: 0.5000 0.0000 0.0000  2 Pb 2.19
K: 0.0000 0.0000 0.5000  4 Hg 3.10, 2 Pb 3.36

---

No. 16
Computed, not measured: crystalline LaHgMo2H at its relaxed geometry at the GGA-PBEsol level of DFT.

Uncorrected energy: -25.78 eV per formula unit
Space-group type: P4/mmm (123)

a b c (Å): 3.4145 5.3203 5.3203
angles (deg): 90.00 90.00 90.00
With the nearest neighbours (Å) after each atom.
Sites, in units of the cell vectors:
H: 0.5000 0.0000 0.0000  2 Hg 1.71
Mo: 0.0000 0.5000 0.0000  2 Hg 2.66
Hg: 0.0000 0.0000 0.0000  2 H 1.71
Mo: 0.0000 0.0000 0.5000  2 Hg 2.66
La: 0.5000 0.5000 0.5000  8 Mo 3.16, 2 La 3.41

---

No. 17
Computed, not measured: crystalline Li3HgH at its relaxed geometry at the GGA-PBEsol level of DFT.

Uncorrected energy: -11.43 eV per formula unit
Space-group type: Pm-3m (221)

a b c (Å): 4.0308 4.0308 4.0308
angles (deg): 90.00 90.00 90.00
With the nearest neighbours (Å) after each atom.
Sites, in units of the cell vectors:
Hg: 0.5000 0.5000 0.5000  12 Li 2.85
Li: 0.0000 0.5000 0.0000  2 H 2.02
Li: 0.5000 0.0000 0.0000  2 H 2.02
H: 0.0000 0.0000 0.0000  6 Li 2.02
Li: 0.0000 0.0000 0.5000  2 H 2.02

---

No. 18
Computed, not measured: crystalline Mg2HgH2 at its relaxed geometry at the GGA-PBEsol level of DFT.

Uncorrected energy: -11.41 eV per formula unit
Space-group type: I4/mmm (139)

a b c (Å): 3.2601 3.2601 6.7400
angles (deg): 104.00 104.00 90.00
With the nearest neighbours (Å) after each atom.
Sites, in units of the cell vectors:
H: 0.7500 0.2500 0.5000  4 Mg 2.01
Mg: 0.3424 0.3424 0.6849  4 H 2.01
H: 0.2500 0.7500 0.5000  4 Mg 2.01
Mg: 0.6576 0.6576 0.3151  4 H 2.01
Hg: 0.0000 0.0000 0.0000  8 Mg 3.05, 4 Hg 3.26

---

No. 19
Computed, not measured: crystalline MgHgH3 at its relaxed geometry at the GGA-PBEsol level of DFT.

Uncorrected energy: -9.86 eV per formula unit
Space-group type: Pm-3m (221)

a b c (Å): 3.9278 3.9278 3.9278
angles (deg): 90.00 90.00 90.00
With the nearest neighbours (Å) after each atom.
Sites, in units of the cell vectors:
H: 0.0000 0.0000 0.5000  2 Hg 1.96
Mg: 0.5000 0.5000 0.5000  12 H 2.78
H: 0.0000 0.5000 0.0000  2 Hg 1.96
H: 0.5000 0.0000 0.0000  2 Hg 1.96
Hg: 0.0000 0.0000 0.0000  6 H 1.96

---

No. 20
Computed, not measured: crystalline MnHgH2 at its relaxed geometry at the GGA-PBEsol level of DFT.

Uncorrected energy: -14.04 eV per formula unit
Space-group type: Fm-3m (225)

a b c (Å): 3.8612 3.8612 3.8612
angles (deg): 60.00 60.00 60.00
With the nearest neighbours (Å) after each atom.
Sites, in units of the cell vectors:
H: 0.7500 0.7500 0.7500  4 Hg 2.36, 4 Mn 2.36
H: 0.2500 0.2500 0.2500  4 Hg 2.36, 4 Mn 2.36
Mn: 0.0000 0.0000 0.0000  8 H 2.36
Hg: 0.5000 0.5000 0.5000  8 H 2.36